A relaxed PdPbBr5 crystal, computed with GGA-PBE.

Summary:
VASP energy in eV per atom: -2.989
Mass density in g/cm3: 5.1
Uncorrected formation energy in eV/atom: -0.522
Magnetization in Bohr magnetons per cell: 0.00

```
data_PdPbBr5
_chemical_formula_sum 'Pd2 Pb2 Br10'
_symmetry_space_group_name_H-M 'P 1'
_symmetry_Int_Tables_number 1
_cell_length_a 7.166
_cell_length_b 7.166
_cell_length_c 10.886
_cell_angle_alpha 68.43
_cell_angle_beta 68.43
_cell_angle_gamma 96.01
loop_
_symmetry_equiv_pos_as_xyz
'x,y,z'
loop_
_atom_site_label
_atom_site_type_symbol
_atom_site_fract_x
_atom_site_fract_y
_atom_site_fract_z
Pd1 Pd 0.000 0.000 0.000
Pd2 Pd 0.000 0.000 0.500
Pb1 Pb 0.688 0.312 0.250
Pb2 Pb 0.312 0.688 0.750
Br1 Br 0.642 0.759 0.131
Br2 Br 0.310 0.858 0.441
Br3 Br 0.759 0.642 0.631
Br4 Br 0.977 0.023 0.250
Br5 Br 0.142 0.690 0.059
Br6 Br 0.858 0.310 0.941
Br7 Br 0.023 0.977 0.750
Br8 Br 0.241 0.358 0.369
Br9 Br 0.690 0.142 0.559
Br10 Br 0.358 0.241 0.869
```